TmCoO3 | PBE+U | relaxed

Calculated values
Total magnetization in Bohr magnetons per cell: 0.00
Total energy in Ry/atom: -0.52248

abc: 5.3016 5.3016 12.1837
angles: 90.00 90.00 120.00
Space group R-3c (No. 167, hexagonal axes)
Symmetry-distinct sites (fractional):
Tm 0.0000 0.0000 0.2500
Co 0.0000 0.0000 0.0000
O 0.0000 0.4076 0.2500